1.
This record from Alexandria via LeMat-Bulk describes K4PRu after structural relaxation. The functional is PBEsol.

a = 6.1936 Å, b = 6.1936 Å, c = 6.1936 Å
α = 60.00°, β = 60.00°, γ = 60.00°
Fractional coordinates of all 6 atoms:
K  0.3765  0.3765  0.3765
K  0.3765  0.3765  0.8706
K  0.3765  0.8706  0.3765
K  0.8706  0.3765  0.3765
P  0.7500  0.7500  0.7500
Ru  0.0000  0.0000  0.0000

Output
formation energy from the elements = 1.1951 eV per atom

---

2.
This record from Alexandria via LeMat-Bulk describes KP2Ru after structural relaxation. The functional is PBEsol.

a = 3.9433 Å, b = 3.9433 Å, c = 8.5087 Å
α = 90.00°, β = 90.00°, γ = 90.00°
Fractional coordinates of all 8 atoms:
K  0.0000  0.0000  0.0000
K  0.5000  0.5000  0.5000
P  0.0000  0.0000  0.5000
P  0.0000  0.5000  0.2500
P  0.5000  0.0000  0.7500
P  0.5000  0.5000  0.0000
Ru  0.0000  0.5000  0.7500
Ru  0.5000  0.0000  0.2500

Output
formation energy from the elements = 0.9215 eV per atom
energy relative to the lowest polymorph listed for this composition = 1.117 eV/atom

---

3.
This record from Alexandria via LeMat-Bulk describes KP2Ru2 after structural relaxation. The functional is PBEsol.

a = 3.9951 Å, b = 3.9951 Å, c = 12.0873 Å
α = 90.00°, β = 90.00°, γ = 90.00°
Fractional coordinates of all 10 atoms:
K  0.0000  0.0000  0.0000
K  0.5000  0.5000  0.5000
P  0.0000  0.0000  0.3430
P  0.0000  0.0000  0.6570
P  0.5000  0.5000  0.1570
P  0.5000  0.5000  0.8430
Ru  0.0000  0.5000  0.2500
Ru  0.0000  0.5000  0.7500
Ru  0.5000  0.0000  0.2500
Ru  0.5000  0.0000  0.7500

Output
formation energy from the elements = -0.6072 eV per atom

---

4.
This record from Alexandria via LeMat-Bulk describes KP2Ru after structural relaxation. The functional is PBEsol.

a = 4.0091 Å, b = 6.2225 Å, c = 7.2835 Å
α = 90.00°, β = 90.00°, γ = 90.00°
Fractional coordinates of all 8 atoms:
K  0.0000  0.0000  0.0000
K  0.5000  0.5000  0.5000
P  0.0000  0.5000  0.1502
P  0.0000  0.5000  0.8498
P  0.5000  0.0000  0.3498
P  0.5000  0.0000  0.6502
Ru  0.0000  0.0000  0.5000
Ru  0.5000  0.5000  0.0000

Output
formation energy from the elements = 0.0798 eV per atom
energy relative to the lowest polymorph listed for this composition = 0.276 eV/atom

---

5.
This record from Alexandria via LeMat-Bulk describes K2PRu after structural relaxation. The functional is PBEsol.

a = 3.3621 Å, b = 4.9596 Å, c = 5.1051 Å
α = 90.00°, β = 90.00°, γ = 90.00°
Fractional coordinates of all 4 atoms:
K  0.0000  0.2493  0.0000
K  0.0000  0.7507  0.0000
P  0.5000  0.5000  0.5000
Ru  0.5000  0.0000  0.5000

Output
formation energy from the elements = 0.7350 eV per atom

---

6.
This record from Alexandria via LeMat-Bulk describes KP2Ru after structural relaxation. The functional is PBEsol.

a = 2.9344 Å, b = 2.9344 Å, c = 7.7732 Å
α = 90.00°, β = 90.00°, γ = 90.00°
Fractional coordinates of all 4 atoms:
K  0.0000  0.0000  0.0000
P  0.5000  0.5000  0.3164
P  0.5000  0.5000  0.6836
Ru  0.0000  0.0000  0.5000

Output
formation energy from the elements = -0.1957 eV per atom
energy relative to the lowest polymorph listed for this composition = 0.000 eV/atom

---

The following total DFT energy (no corrections) values (in eV per atom) correspond, in order, to the records above: -2.22; -4.80; -7.22; -5.64; -3.82; -5.92.